Below is a geometry-optimized KMgCr2O8 structure, with properties calculated at the GGA+U level.

The value obtained for the volume is 201.2 Å³ per cell. As for the total energy: -6.27 eV per atom. The density of states at the Fermi level is 0.650 states/eV/atom.

It has space group P-3m1 (No. 164), with a = 5.5782 Å, b = 5.5782 Å, c = 7.4660 Å, α = 90.00°, β = 90.00° and γ = 120.00°. The distinct sites, in fractional coordinates, are K at (0.0000, 0.0000, 0.0000), Mg at (0.0000, 0.0000, 0.5000), Cr at (0.3333, 0.6667, 0.7407), O at (0.1698, 0.3396, 0.6681) and O at (0.3333, 0.6667, 0.9598).